## TbAgSn2 (PBE)

Data for crystalline TbAgSn2 at its relaxed geometry.

Summary:
Relative energy among the computed polymorphs ... 0 meV per atom
Space group ... P4/mmm (123)
Mass density ... 8.752 Mg/m³
Total magnetic moment ... 0.00 Bohr magnetons per cell
Crystal system ... tetragonal
DOS at the Fermi energy ... 1.49 states/eV/f.u.
E_form ... -1.8 eV/f.u.
Calculated total energy ... -4.32 eV per atom

Cell lengths 4.6634, 4.6634, 4.3988 Å; angles 90.00, 90.00, 90.00 degrees
Last column: nearest neighbours and their distance in Å.
Element x y z (fractional)
Tb 0.0000 0.0000 0.0000  8 Sn 3.21, 4 Ag 3.30
Sn 0.0000 0.5000 0.5000  4 Ag 3.21, 4 Tb 3.21, 4 Sn 3.30
Sn 0.5000 0.0000 0.5000  4 Tb 3.21, 4 Ag 3.21, 4 Sn 3.30
Ag 0.5000 0.5000 0.0000  8 Sn 3.21, 4 Tb 3.30